No. 1
Material: LiCe3
Method: DFT, PBE
State: optimized geometry

Geometry as POSCAR:
```
LiCe3
1.0
-0.214 1.177 -2.978
-3.921 -3.601 -1.141
-3.827 3.625 1.708
Ce Li
3 1
Cartesian
-1.780 2.173 -0.742
-5.544 2.081 -0.507
-3.407 -0.431 0.075
-3.610 3.419 1.611
```

Values from the calculation:
* energy: -19.08 eV for the cell shown
* V: 97 Å³/cell
* ΔE_f: 0.160 eV/atom
* E above lowest polymorph: 0.02 eV per formula unit

No. 2
Material: Li5Ce
Method: DFT, PBE
State: optimized geometry

Geometry as POSCAR:
```
Li5Ce
1.0
-2.133 2.312 -0.191
-3.480 -3.403 -2.327
-1.070 -0.301 8.293
Ce Li
1 5
Cartesian
0.000 0.000 0.000
-2.591 -2.308 0.995
-1.959 -1.396 4.971
-2.807 -0.546 -1.259
-2.135 0.395 2.614
-4.548 -1.787 3.160
```

Values from the calculation:
* energy: -14.53 eV for the cell shown
* V: 135 Å³/cell
* ΔE_f: 0.163 eV/atom

No. 3
Material: LiCeLu
Method: DFT, PBE
State: optimized geometry

Geometry as POSCAR:
```
LiCeLu
1.0
3.404 0.000 0.000
0.000 3.404 0.000
-1.702 -1.702 6.934
Lu Ce Li
1 1 1
Cartesian
1.702 1.702 2.223
0.000 0.000 4.669
0.000 0.000 0.042
```

Values from the calculation:
* energy: -11.84 eV for the cell shown
* V: 80 Å³/cell
* ΔE_f: 0.176 eV/atom
* E above lowest polymorph: 0.07 eV per formula unit

No. 4
Material: LiCeLu
Method: DFT, PBE
State: optimized geometry

Geometry as POSCAR:
```
LiCeLu
1.0
3.336 0.000 0.000
-1.668 2.889 0.000
0.000 0.000 8.391
Lu Ce Li
1 1 1
Cartesian
1.668 0.963 2.775
0.000 1.926 5.576
0.000 0.000 0.040
```

Values from the calculation:
* energy: -11.91 eV for the cell shown
* V: 81 Å³/cell
* ΔE_f: 0.153 eV/atom
* E above lowest polymorph: 0.00 eV per formula unit

No. 5
Material: LiCeLuMo
Method: DFT, PBE
State: optimized geometry

Geometry as POSCAR:
```
LiCeLuMo
1.0
4.940 0.000 0.000
2.470 4.278 0.000
2.470 1.426 4.033
Mo Lu Ce Li
1 1 1 1
Cartesian
4.940 2.852 2.017
7.409 4.278 3.025
2.470 1.426 1.008
0.000 0.000 0.000
```

Values from the calculation:
* energy: -22.50 eV for the cell shown
* V: 85 Å³/cell
* ΔE_f: 0.175 eV/atom

No. 6
Material: LiCeLuPb
Method: DFT, PBE
State: optimized geometry

Geometry as POSCAR:
```
LiCeLuPb
1.0
5.330 0.000 0.000
2.665 4.616 0.000
2.665 1.539 4.352
Pb Lu Ce Li
1 1 1 1
Cartesian
5.330 3.077 2.176
7.995 4.616 3.264
2.665 1.539 1.088
0.000 0.000 0.000
```

Values from the calculation:
* energy: -16.66 eV for the cell shown
* V: 107 Å³/cell
* ΔE_f: -0.146 eV/atom

No. 7
Material: LiCeLuPd
Method: DFT, PBE
State: optimized geometry

Geometry as POSCAR:
```
LiCeLuPd
1.0
-0.256 4.119 -2.871
-4.474 1.802 -1.416
-1.700 4.315 1.940
Lu Pd Ce Li
1 1 1 1
Cartesian
-1.608 2.559 -0.587
-3.215 5.118 -1.173
-4.823 7.677 -1.760
0.000 0.000 0.000
```

Values from the calculation:
* energy: -18.74 eV for the cell shown
* V: 90 Å³/cell
* ΔE_f: -0.295 eV/atom

No. 8
Material: LiCePmLu
Method: DFT, PBE
State: optimized geometry

Geometry as POSCAR:
```
LiCePmLu
1.0
5.479 0.000 0.000
2.739 4.745 0.000
2.739 1.582 4.474
Lu Li Ce Pm
1 1 1 1
Cartesian
2.739 1.582 1.118
8.218 4.745 3.355
0.000 0.000 0.000
5.479 3.163 2.237
```

Values from the calculation:
* energy: -16.24 eV for the cell shown
* V: 116 Å³/cell
* ΔE_f: 0.219 eV/atom

No. 9
Material: LiCePrLu
Method: DFT, PBE
State: optimized geometry

Geometry as POSCAR:
```
LiCePrLu
1.0
-0.028 -3.211 4.406
1.525 -5.218 -0.420
4.708 -1.650 2.201
Pr Lu Ce Li
1 1 1 1
Cartesian
1.551 -2.520 1.547
4.654 -7.559 4.641
3.103 -5.039 3.094
0.000 0.000 0.000
```

Values from the calculation:
* energy: -15.99 eV for the cell shown
* V: 115 Å³/cell
* ΔE_f: 0.291 eV/atom

No. 10
Material: LiCeLuRe
Method: DFT, PBE
State: optimized geometry

Geometry as POSCAR:
```
LiCeLuRe
1.0
-0.462 0.639 -4.826
-1.918 -3.549 -2.763
-4.436 0.568 -1.977
Re Lu Ce Li
1 1 1 1
Cartesian
0.000 0.000 0.000
-1.704 -0.585 -2.392
-5.111 -1.756 -7.175
-3.408 -1.171 -4.783
```

Values from the calculation:
* energy: -24.73 eV for the cell shown
* V: 83 Å³/cell
* ΔE_f: 0.022 eV/atom

No. 11
Material: LiCeLuRh
Method: DFT, PBE
State: optimized geometry

Geometry as POSCAR:
```
LiCeLuRh
1.0
-2.455 3.213 -2.822
-4.882 0.485 0.492
-1.881 4.098 1.995
Lu Rh Ce Li
1 1 1 1
Cartesian
-6.914 5.847 -0.251
-4.609 3.898 -0.168
-2.305 1.949 -0.084
0.000 0.000 0.000
```

Values from the calculation:
* energy: -21.25 eV for the cell shown
* V: 85 Å³/cell
* ΔE_f: -0.382 eV/atom

No. 12
Material: LiCeLuRu
Method: DFT, PBE
State: optimized geometry

Geometry as POSCAR:
```
LiCeLuRu
1.0
-3.262 1.609 3.274
-0.943 -2.636 4.013
1.506 1.585 4.378
Ru Lu Ce Li
1 1 1 1
Cartesian
-2.024 0.418 8.749
-1.350 0.279 5.833
0.000 0.000 0.000
-0.675 0.139 2.916
```

Values from the calculation:
* energy: -22.51 eV for the cell shown
* V: 83 Å³/cell
* ΔE_f: -0.217 eV/atom

No. 13
Material: LiCeSmLu
Method: DFT, PBE
State: optimized geometry

Geometry as POSCAR:
```
LiCeSmLu
1.0
-3.397 2.202 -3.677
-5.383 -0.892 0.371
-3.351 4.066 1.464
Lu Ce Sm Li
1 1 1 1
Cartesian
-3.033 1.344 -0.460
-6.066 2.688 -0.921
0.000 0.000 0.000
-9.099 4.032 -1.381
```

Values from the calculation:
* energy: -16.11 eV for the cell shown
* V: 116 Å³/cell
* ΔE_f: 0.245 eV/atom

No. 14
Material: LiCeLuSn
Method: DFT, PBE
State: optimized geometry

Geometry as POSCAR:
```
LiCeLuSn
1.0
5.247 0.000 0.000
2.623 4.544 0.000
2.623 1.515 4.284
Lu Sn Ce Li
1 1 1 1
Cartesian
0.000 0.000 0.000
2.623 1.515 1.071
5.247 3.029 2.142
7.870 4.544 3.213
```

Values from the calculation:
* energy: -17.52 eV for the cell shown
* V: 102 Å³/cell
* ΔE_f: -0.287 eV/atom

No. 15
Material: LiCeLuTc
Method: DFT, PBE
State: optimized geometry

Geometry as POSCAR:
```
LiCeLuTc
1.0
4.893 0.000 0.000
2.447 4.238 0.000
2.447 1.413 3.995
Lu Tc Ce Li
1 1 1 1
Cartesian
7.340 4.238 2.996
4.893 2.825 1.998
2.447 1.413 0.999
0.000 0.000 0.000
```

Values from the calculation:
* energy: -22.93 eV for the cell shown
* V: 83 Å³/cell
* ΔE_f: -0.048 eV/atom

No. 16
Material: LiCeTmLu
Method: DFT, PBE
State: optimized geometry

Geometry as POSCAR:
```
LiCeTmLu
1.0
-4.682 1.793 -2.028
-4.033 -3.471 -0.970
-4.435 0.075 3.094
Lu Tm Ce Li
1 1 1 1
Cartesian
-3.287 -0.401 0.024
0.000 0.000 0.000
-6.575 -0.801 0.048
-9.862 -1.202 0.072
```

Values from the calculation:
* energy: -15.93 eV for the cell shown
* V: 112 Å³/cell
* ΔE_f: 0.229 eV/atom

No. 17
Material: LiCeYLu
Method: DFT, PBE
State: optimized geometry

Geometry as POSCAR:
```
LiCeYLu
1.0
-0.847 -5.340 -0.679
3.972 -3.157 -1.987
2.507 -3.590 3.243
Y Lu Ce Li
1 1 1 1
Cartesian
1.408 -3.022 0.144
2.816 -6.043 0.289
4.224 -9.065 0.433
0.000 0.000 0.000
```

Values from the calculation:
* energy: -17.94 eV for the cell shown
* V: 114 Å³/cell
* ΔE_f: 0.223 eV/atom

No. 18
Material: Li2CeMg
Method: DFT, PBE
State: optimized geometry

Geometry as POSCAR:
```
Li2CeMg
1.0
-2.346 1.422 -4.333
-5.047 -0.728 -0.542
-3.186 4.018 0.009
Mg Ce Li
1 1 2
Cartesian
-5.290 2.356 -2.433
0.000 0.000 0.000
-2.645 1.178 -1.216
-7.934 3.534 -3.649
```

Values from the calculation:
* energy: -10.70 eV for the cell shown
* V: 95 Å³/cell
* ΔE_f: 0.163 eV/atom
* E above lowest polymorph: 0.35 eV per formula unit

No. 19
Material: LiCeMg2
Method: DFT, PBE
State: optimized geometry

Geometry as POSCAR:
```
LiCeMg2
1.0
5.217 0.000 0.000
2.609 4.518 0.000
2.609 1.506 4.260
Mg Ce Li
2 1 1
Cartesian
2.609 1.506 1.065
7.826 4.518 3.195
0.000 0.000 0.000
5.217 3.012 2.130
```

Values from the calculation:
* energy: -10.67 eV for the cell shown
* V: 100 Å³/cell
* ΔE_f: 0.093 eV/atom
* E above lowest polymorph: 0.40 eV per formula unit

No. 20
Material: LiCe2Mg2
Method: DFT, PBE
State: optimized geometry

Geometry as POSCAR:
```
LiCe2Mg2
1.0
3.888 0.000 -0.600
-0.092 3.887 -0.600
-0.616 -0.630 8.914
Li Ce Mg
1 2 2
Cartesian
0.000 0.000 0.000
2.585 0.657 3.857
0.595 2.600 3.857
1.059 1.085 6.869
2.121 2.172 0.845
```

Values from the calculation:
* energy: -15.71 eV for the cell shown
* V: 132 Å³/cell
* ΔE_f: 0.252 eV/atom

No. 21
Material: LiCeMg2
Method: DFT, PBE
State: optimized geometry

Geometry as POSCAR:
```
LiCeMg2
1.0
-0.870 -3.181 0.443
0.662 -0.940 -5.451
5.336 -1.337 0.878
Mg Ce Li
2 1 1
Cartesian
2.668 -0.669 0.439
0.331 -0.470 -2.726
-0.435 -1.590 0.221
2.564 -2.729 -2.065
```

Values from the calculation:
* energy: -10.56 eV for the cell shown
* V: 103 Å³/cell
* ΔE_f: 0.119 eV/atom
* E above lowest polymorph: 0.50 eV per formula unit

No. 22
Material: Li2CeMg
Method: DFT, PBE
State: optimized geometry

Geometry as POSCAR:
```
Li2CeMg
1.0
3.030 0.000 0.000
1.515 2.624 0.000
1.515 0.875 11.287
Mg Ce Li
1 1 2
Cartesian
3.030 1.749 5.643
0.000 0.000 0.000
1.515 0.875 8.212
4.544 2.624 3.075
```

Values from the calculation:
* energy: -10.89 eV for the cell shown
* V: 90 Å³/cell
* ΔE_f: 0.117 eV/atom
* E above lowest polymorph: 0.17 eV per formula unit

No. 23
Material: Li5CeMg7
Method: DFT, PBE
State: optimized geometry

Geometry as POSCAR:
```
Li5CeMg7
1.0
5.021 0.000 2.062
2.505 7.296 1.045
-0.261 0.039 7.780
Li Ce Mg
5 1 7
Cartesian
4.883 7.301 5.983
7.384 7.301 7.010
3.512 3.703 9.322
6.013 3.703 10.349
5.360 5.735 8.381
5.014 0.018 2.078
4.039 2.593 4.453
3.216 4.765 6.456
0.713 2.588 5.409
1.533 4.741 3.411
1.913 1.578 2.486
4.440 5.771 3.477
2.830 1.549 7.395
```

Values from the calculation:
* energy: -26.76 eV for the cell shown
* V: 289 Å³/cell
* ΔE_f: -0.007 eV/atom

No. 24
Material: Li4CeMg15
Method: DFT, PBE
State: optimized geometry

Geometry as POSCAR:
```
Li4CeMg15
1.0
-4.101 1.931 -0.046
-1.814 -3.814 1.647
3.262 7.420 20.775
Li Ce Mg
4 1 15
Cartesian
0.674 1.532 4.291
1.322 3.007 8.420
1.940 4.412 12.354
2.588 5.887 16.484
0.000 0.000 0.000
-2.958 -0.941 0.801
-2.266 0.632 5.205
-1.643 2.050 9.176
-1.011 3.487 13.199
-0.387 4.905 17.171
-1.689 1.789 2.281
-1.048 3.245 6.360
-0.420 4.675 10.364
0.209 6.106 14.368
0.850 7.562 18.447
-0.545 -1.084 3.128
0.095 0.373 7.207
0.724 1.803 11.211
1.353 3.233 15.215
1.993 4.690 19.294
```

Values from the calculation:
* energy: -37.60 eV for the cell shown
* V: 458 Å³/cell
* ΔE_f: -0.005 eV/atom

No. 25
Material: Li2Ce2Mg15
Method: DFT, PBE
State: optimized geometry

Geometry as POSCAR:
```
Li2Ce2Mg15
1.0
-7.182 -2.491 -1.733
1.374 -1.905 -7.435
1.281 -7.606 1.141
Li Ce Mg
2 2 15
Cartesian
-0.443 -1.174 -0.785
-4.084 -10.827 -7.241
-1.516 -4.020 -2.689
-3.011 -7.981 -5.338
-3.591 -1.245 -0.867
0.641 -3.803 0.571
0.687 -0.953 -3.717
1.346 -3.645 -4.818
-4.571 -2.312 -3.473
-1.301 -6.045 0.264
-1.237 -2.084 -5.695
-4.600 -4.052 -0.856
1.310 -5.866 -1.476
0.579 -6.586 -4.372
-3.574 -4.077 -5.782
-3.620 -6.874 -1.574
-5.106 -5.415 -3.655
-0.953 -7.925 -2.244
-0.907 -5.128 -6.452
```

Values from the calculation:
* energy: -39.52 eV for the cell shown
* V: 463 Å³/cell
* ΔE_f: 0.005 eV/atom

No. 26
Material: LiCeMg14
Method: DFT, PBE
State: optimized geometry

Geometry as POSCAR:
```
LiCeMg14
1.0
6.561 -0.066 0.000
-3.414 5.604 0.000
0.000 0.000 10.387
Li Ce Mg
1 1 14
Cartesian
4.970 0.838 5.194
-0.219 3.788 5.194
4.897 0.880 0.000
-0.092 3.715 0.000
1.456 0.952 5.194
1.639 0.935 0.000
3.074 3.799 5.194
3.183 3.651 0.000
-0.003 1.838 2.558
-0.003 1.838 7.830
1.567 4.600 2.558
1.567 4.600 7.830
3.329 1.771 2.786
3.329 1.771 7.601
-1.757 4.662 2.510
-1.757 4.662 7.877
```

Values from the calculation:
* energy: -29.48 eV for the cell shown
* V: 380 Å³/cell
* ΔE_f: 0.043 eV/atom
* E above lowest polymorph: 0.35 eV per formula unit

No. 27
Material: Li3CeMg9
Method: DFT, PBE
State: optimized geometry

Geometry as POSCAR:
```
Li3CeMg9
1.0
5.099 -0.020 2.070
2.439 7.302 0.990
-0.210 -0.010 7.833
Li Ce Mg
3 1 9
Cartesian
3.769 3.641 1.530
-0.105 -0.005 3.917
2.445 -0.015 4.952
0.000 0.000 0.000
5.367 5.740 8.383
1.962 1.531 2.511
2.947 1.521 7.400
4.382 5.750 3.493
4.095 2.529 4.480
3.234 4.742 6.413
6.579 4.731 5.488
0.750 2.540 5.405
1.220 3.651 0.495
```

Values from the calculation:
* energy: -26.35 eV for the cell shown
* V: 295 Å³/cell
* ΔE_f: -0.025 eV/atom